Computed, not measured: crystalline CsLiFe2 at its relaxed geometry at the PBE level of DFT.

Calculated values
Volume ... 226 Å³ per cell
E_tot ... -3.7943 eV per atom
Crystal system ... tetragonal
Space-group type ... No. 122
ΔE to the lowest computed polymorph ... 0 meV/atom

a b c (Å): 10.5072 10.5072 10.5072
angles (deg): 153.79 153.79 37.40
Closest atoms and distances in Å follow each position.
Atoms (fractional coordinates):
Cs  0.0000  0.0000  0.0000  4 Li 3.37, 8 Fe 3.64-3.65
Cs  0.7500  0.2500  0.5000  4 Li 3.37, 8 Fe 3.64-3.65
Li  0.2500  0.7500  0.5000  4 Fe 2.76
Li  0.5000  0.5000  0.0000  4 Fe 2.76
Fe  0.3730  0.6250  0.2480  2 Fe 2.38
Fe  0.3750  0.6230  0.7480  2 Fe 2.38
Fe  0.3770  0.1250  0.7520  2 Fe 2.38
Fe  0.8750  0.6270  0.2520  2 Fe 2.38

=====

Computed, not measured: crystalline Ac2Nd7Ho at its relaxed geometry at the PBE level of DFT.

Calculated values
Volume ... 373 Å³ per cell
E_tot ... -4.4665 eV per atom
Crystal system ... orthorhombic
Space-group type ... No. 65
ΔE to the lowest computed polymorph ... 0 meV/atom

a b c (Å): 15.4292 15.4292 3.6096
angles (deg): 90.00 90.00 154.31
Closest atoms and distances in Å follow each position.
Atoms (fractional coordinates):
Ac  0.2054  0.7946  0.0000  2 Ac 3.61, 8 Nd 3.75-3.93
Ac  0.7946  0.2054  0.0000  2 Ac 3.61, 8 Nd 3.75-3.93
Nd  0.0000  0.0000  0.0000  6 Nd 3.37-3.61
Nd  0.1626  0.3534  0.0000  7 Nd 3.32-3.61
Nd  0.3167  0.6833  0.5000  6 Nd 3.61, 6 Ac 3.80-3.93
Nd  0.3534  0.1626  0.0000  7 Nd 3.32-3.61
Nd  0.6466  0.8374  0.0000  7 Nd 3.32-3.61
Nd  0.6833  0.3167  0.5000  6 Nd 3.61, 6 Ac 3.80-3.93
Nd  0.8374  0.6466  0.0000  7 Nd 3.32-3.61
Ho  0.5000  0.5000  0.5000  2 Ho 3.61, 12 Nd 3.78-3.88

=====

> Which of these has the highest volume?

Ac2Nd7Ho

=====

> Among the records above, which one has the highest E_tot?

CsLiFe2

=====

> Which of these has the highest volume?

Ac2Nd7Ho